## w
# GGA-PBE NbVMo2, relaxed
# * M_tot: 0.00 μB per cell
# * density: 8.8 Mg/m³
# * DOS at the Fermi energy: 4.75 states/eV/cell
data_NbVMo2
_chemical_formula_sum 'Nb2 V2 Mo4'
_space_group_name_H-M_alt 'P m m a'
_space_group_IT_number 51
_cell_length_a 4.500
_cell_length_b 3.154
_cell_length_c 8.886
_cell_angle_alpha 90.00
_cell_angle_beta 90.00
_cell_angle_gamma 90.00
loop_
_space_group_symop_operation_xyz
'x,y,z'
'-x,-y,-z'
'-x+1/2,-y,z'
'x+1/2,y,-z'
'x+1/2,-y,-z'
'-x+1/2,y,z'
'-x,y,-z'
'x,-y,z'
loop_
_atom_site_label
_atom_site_type_symbol
_atom_site_fract_x
_atom_site_fract_y
_atom_site_fract_z
_atom_site_occupancy
Nb1 Nb 0.250 0.000 0.130 1
V1 V 0.250 0.000 0.619 1
Mo1 Mo 0.250 0.500 0.385 1
Mo2 Mo 0.250 0.500 0.866 1

---

## x
# GGA-PBE NbVMo2, relaxed
# * M_tot: 0.00 μB per cell
# * density: 8.8 Mg/m³
# * DOS at the Fermi energy: 2.12 states/eV/cell
data_NbVMo2
_chemical_formula_sum 'Nb1 V1 Mo2'
_space_group_name_H-M_alt 'P -1'
_space_group_IT_number 2
_cell_length_a 2.762
_cell_length_b 4.428
_cell_length_c 5.245
_cell_angle_alpha 89.90
_cell_angle_beta 80.26
_cell_angle_gamma 89.83
loop_
_space_group_symop_operation_xyz
'x,y,z'
'-x,-y,-z'
loop_
_atom_site_label
_atom_site_type_symbol
_atom_site_fract_x
_atom_site_fract_y
_atom_site_fract_z
_atom_site_occupancy
Nb1 Nb 0.000 0.000 0.000 1
V1 V 0.500 0.000 0.500 1
Mo1 Mo 0.250 0.500 0.257 1

---

Most stable to least stable, the ends of the list are w and x.

---

## w
# GGA-PBE Nb5V2Mo4, relaxed
# * M_tot: 0.00 μB per cell
# * density: 8.3 Mg/m³
# * DOS at the Fermi energy: 27.68 states/eV/cell
data_Nb5V2Mo4
_chemical_formula_sum 'Nb10 V4 Mo8'
_space_group_name_H-M_alt 'I m m m'
_space_group_IT_number 71
_space_group_name_Hall '-I 2 2'
_cell_length_a 4.497
_cell_length_b 8.078
_cell_length_c 10.407
_cell_angle_alpha 90.00
_cell_angle_beta 90.00
_cell_angle_gamma 90.00
loop_
_atom_site_label
_atom_site_type_symbol
_atom_site_fract_x
_atom_site_fract_y
_atom_site_fract_z
_atom_site_occupancy
Nb1 Nb 0.000 0.000 0.000 1
Nb2 Nb 0.000 0.175 0.224 1
V1 V 0.000 0.500 0.362 1
Mo1 Mo 0.000 0.202 0.500 1
Mo2 Mo 0.000 0.500 0.115 1

---

## x
# GGA-PBE Nb5V2Mo4, relaxed
# * M_tot: 0.00 μB per cell
# * density: 8.7 Mg/m³
# * DOS at the Fermi energy: 24.46 states/eV/cell
data_Nb5V2Mo4
_chemical_formula_sum 'Nb10 V4 Mo8'
_space_group_name_H-M_alt 'C 1 2/m 1'
_space_group_IT_number 12
_cell_length_a 16.494
_cell_length_b 3.196
_cell_length_c 7.102
_cell_angle_alpha 90.00
_cell_angle_beta 104.55
_cell_angle_gamma 90.00
loop_
_space_group_symop_operation_xyz
'x,y,z'
'-x,-y,-z'
'-x,y,-z'
'x,-y,z'
'x+1/2,y+1/2,z'
'-x+1/2,-y+1/2,-z'
'-x+1/2,y+1/2,-z'
'x+1/2,-y+1/2,z'
loop_
_atom_site_label
_atom_site_type_symbol
_atom_site_fract_x
_atom_site_fract_y
_atom_site_fract_z
_atom_site_occupancy
Nb1 Nb 0.000 0.000 0.000 1
Nb2 Nb 0.136 0.500 0.182 1
Nb3 Nb 0.224 0.500 0.638 1
V1 V 0.086 0.000 0.458 1
Mo1 Mo 0.045 0.500 0.718 1
Mo2 Mo 0.180 0.000 0.906 1

---

Most stable to least stable, the ends of the list are x and w.

---

## w
# GGA-PBE Nb6V2Mo, relaxed
# * M_tot: 0.00 μB per cell
# * density: 7.1 Mg/m³
# * DOS at the Fermi energy: 20.32 states/eV/cell
data_Nb6V2Mo
_chemical_formula_sum 'Nb12 V4 Mo2'
_space_group_name_H-M_alt 'C 1 2/m 1'
_space_group_IT_number 12
_cell_length_a 13.784
_cell_length_b 6.143
_cell_length_c 4.374
_cell_angle_alpha 90.00
_cell_angle_beta 108.38
_cell_angle_gamma 90.00
loop_
_space_group_symop_operation_xyz
'x,y,z'
'-x,-y,-z'
'-x,y,-z'
'x,-y,z'
'x+1/2,y+1/2,z'
'-x+1/2,-y+1/2,-z'
'-x+1/2,y+1/2,-z'
'x+1/2,-y+1/2,z'
loop_
_atom_site_label
_atom_site_type_symbol
_atom_site_fract_x
_atom_site_fract_y
_atom_site_fract_z
_atom_site_occupancy
Nb1 Nb 0.000 0.243 0.000 1
Nb2 Nb 0.169 0.247 0.669 1
V1 V 0.167 0.000 0.167 1
Mo1 Mo 0.000 0.500 0.500 1

---

## x
# GGA-PBE Nb6V2Mo, relaxed
# * M_tot: 0.00 μB per cell
# * density: 8.1 Mg/m³
# * DOS at the Fermi energy: 10.51 states/eV/cell
data_Nb6V2Mo
_chemical_formula_sum 'Nb6 V2 Mo1'
_space_group_name_H-M_alt 'P -1'
_space_group_IT_number 2
_cell_length_a 2.763
_cell_length_b 7.179
_cell_length_c 8.059
_cell_angle_alpha 99.09
_cell_angle_beta 96.53
_cell_angle_gamma 98.34
loop_
_space_group_symop_operation_xyz
'x,y,z'
'-x,-y,-z'
loop_
_atom_site_label
_atom_site_type_symbol
_atom_site_fract_x
_atom_site_fract_y
_atom_site_fract_z
_atom_site_occupancy
Nb1 Nb 0.005 0.166 0.270 1
Nb2 Nb 0.248 0.833 0.389 1
Nb3 Nb 0.302 0.494 0.832 1
V1 V 0.316 0.843 0.059 1
Mo1 Mo 0.500 0.500 0.500 1

---

Most stable to least stable, the ends of the list are x and w.

---

## w
# GGA-PBE Nb6VMo2, relaxed
# * M_tot: 0.00 μB per cell
# * density: 7.4 Mg/m³
# * DOS at the Fermi energy: 20.68 states/eV/cell
data_Nb6VMo2
_chemical_formula_sum 'Nb12 V2 Mo4'
_space_group_name_H-M_alt 'C 1 2/m 1'
_space_group_IT_number 12
_cell_length_a 13.837
_cell_length_b 6.222
_cell_length_c 4.410
_cell_angle_alpha 90.00
_cell_angle_beta 108.52
_cell_angle_gamma 90.00
loop_
_space_group_symop_operation_xyz
'x,y,z'
'-x,-y,-z'
'-x,y,-z'
'x,-y,z'
'x+1/2,y+1/2,z'
'-x+1/2,-y+1/2,-z'
'-x+1/2,y+1/2,-z'
'x+1/2,-y+1/2,z'
loop_
_atom_site_label
_atom_site_type_symbol
_atom_site_fract_x
_atom_site_fract_y
_atom_site_fract_z
_atom_site_occupancy
Nb1 Nb 0.000 0.243 0.000 1
Nb2 Nb 0.165 0.246 0.665 1
V1 V 0.000 0.000 0.500 1
Mo1 Mo 0.166 0.500 0.166 1

---

## x
# GGA-PBE Nb6VMo2, relaxed
# * M_tot: 0.00 μB per cell
# * density: 8.5 Mg/m³
# * DOS at the Fermi energy: 20.11 states/eV/cell
data_Nb6VMo2
_chemical_formula_sum 'Nb12 V2 Mo4'
_space_group_name_H-M_alt 'C 1 2/m 1'
_space_group_IT_number 12
_cell_length_a 5.158
_cell_length_b 14.051
_cell_length_c 4.703
_cell_angle_alpha 90.00
_cell_angle_beta 112.85
_cell_angle_gamma 90.00
loop_
_space_group_symop_operation_xyz
'x,y,z'
'-x,-y,-z'
'-x,y,-z'
'x,-y,z'
'x+1/2,y+1/2,z'
'-x+1/2,-y+1/2,-z'
'-x+1/2,y+1/2,-z'
'x+1/2,-y+1/2,z'
loop_
_atom_site_label
_atom_site_type_symbol
_atom_site_fract_x
_atom_site_fract_y
_atom_site_fract_z
_atom_site_occupancy
Nb1 Nb 0.172 0.000 0.334 1
Nb2 Nb 0.175 0.163 0.830 1
V1 V 0.000 0.500 0.000 1
Mo1 Mo 0.000 0.340 0.500 1

---

Most stable to least stable, the ends of the list are x and w.